[1]
LiPaSi: optimized geometry, PBE-GGA.

The structure in CIF format:
```
data_LiPaSi
_chemical_formula_sum 'Li4 Pa4 Si4'
_cell_length_a 6.0963
_cell_length_b 6.0963
_cell_length_c 6.0963
_cell_angle_alpha 90.00
_cell_angle_beta 90.00
_cell_angle_gamma 90.00
_symmetry_space_group_name_H-M 'F -4 3 m'
_symmetry_Int_Tables_number 216
_symmetry_space_group_name_Hall 'F -4 2 3'
loop_
_atom_site_label
_atom_site_type_symbol
_atom_site_fract_x
_atom_site_fract_y
_atom_site_fract_z
Li1 Li 0.0000 0.0000 0.0000
Pa1 Pa 0.2500 0.2500 0.7500
Si1 Si 0.2500 0.2500 0.2500
```

Values from the calculation:
- E: -66.05 eV/cell
- Relative energy among the computed polymorphs: 0.010 eV/atom


[2]
LiPaSi: optimized geometry, PBE-GGA.

The structure in CIF format:
```
data_LiPaSi
_chemical_formula_sum 'Li4 Pa4 Si4'
_cell_length_a 6.4316
_cell_length_b 6.4316
_cell_length_c 6.4316
_cell_angle_alpha 90.00
_cell_angle_beta 90.00
_cell_angle_gamma 90.00
_symmetry_space_group_name_H-M 'F -4 3 m'
_symmetry_Int_Tables_number 216
_symmetry_space_group_name_Hall 'F -4 2 3'
loop_
_atom_site_label
_atom_site_type_symbol
_atom_site_fract_x
_atom_site_fract_y
_atom_site_fract_z
Li1 Li 0.0000 0.0000 0.0000
Pa1 Pa 0.0000 0.0000 0.5000
Si1 Si 0.2500 0.2500 0.2500
```

Values from the calculation:
- E: -66.17 eV/cell
- Relative energy among the computed polymorphs: 0.000 eV/atom


[3]
LiSmPa: optimized geometry, PBE-GGA.

The structure in CIF format:
```
data_LiSmPa
_chemical_formula_sum 'Li4 Sm4 Pa4'
_cell_length_a 6.8028
_cell_length_b 6.8028
_cell_length_c 6.8028
_cell_angle_alpha 90.00
_cell_angle_beta 90.00
_cell_angle_gamma 90.00
_symmetry_space_group_name_H-M 'F -4 3 m'
_symmetry_Int_Tables_number 216
_symmetry_space_group_name_Hall 'F -4 2 3'
loop_
_atom_site_label
_atom_site_type_symbol
_atom_site_fract_x
_atom_site_fract_y
_atom_site_fract_z
Li1 Li 0.0000 0.0000 0.0000
Sm1 Sm 0.2500 0.2500 0.2500
Pa1 Pa 0.0000 0.0000 0.5000
```

Values from the calculation:
- E: -51.05 eV/cell
- Relative energy among the computed polymorphs: 0.000 eV/atom


[4]
SrLiPa: optimized geometry, PBE-GGA.

The structure in CIF format:
```
data_SrLiPa
_chemical_formula_sum 'Sr4 Li4 Pa4'
_cell_length_a 7.4791
_cell_length_b 7.4791
_cell_length_c 7.4791
_cell_angle_alpha 90.00
_cell_angle_beta 90.00
_cell_angle_gamma 90.00
_symmetry_space_group_name_H-M 'F -4 3 m'
_symmetry_Int_Tables_number 216
_symmetry_space_group_name_Hall 'F -4 2 3'
loop_
_atom_site_label
_atom_site_type_symbol
_atom_site_fract_x
_atom_site_fract_y
_atom_site_fract_z
Sr1 Sr 0.0000 0.0000 0.0000
Li1 Li 0.0000 0.0000 0.5000
Pa1 Pa 0.2500 0.2500 0.7500
```

Values from the calculation:
- E: -33.15 eV/cell
- Relative energy among the computed polymorphs: 0.000 eV/atom


[5]
LiPaTe: optimized geometry, PBE-GGA.

The structure in CIF format:
```
data_LiPaTe
_chemical_formula_sum 'Li4 Pa4 Te4'
_cell_length_a 7.0899
_cell_length_b 7.0899
_cell_length_c 7.0899
_cell_angle_alpha 90.00
_cell_angle_beta 90.00
_cell_angle_gamma 90.00
_symmetry_space_group_name_H-M 'F -4 3 m'
_symmetry_Int_Tables_number 216
_symmetry_space_group_name_Hall 'F -4 2 3'
loop_
_atom_site_label
_atom_site_type_symbol
_atom_site_fract_x
_atom_site_fract_y
_atom_site_fract_z
Li1 Li 0.0000 0.0000 0.0000
Pa1 Pa 0.2500 0.2500 0.2500
Te1 Te 0.0000 0.0000 0.5000
```

Values from the calculation:
- E: -54.82 eV/cell
- Relative energy among the computed polymorphs: 0.251 eV/atom


[6]
LiPaTe: optimized geometry, PBE-GGA.

The structure in CIF format:
```
data_LiPaTe
_chemical_formula_sum 'Li4 Pa4 Te4'
_cell_length_a 6.4298
_cell_length_b 6.4298
_cell_length_c 6.4298
_cell_angle_alpha 90.00
_cell_angle_beta 90.00
_cell_angle_gamma 90.00
_symmetry_space_group_name_H-M 'F -4 3 m'
_symmetry_Int_Tables_number 216
_symmetry_space_group_name_Hall 'F -4 2 3'
loop_
_atom_site_label
_atom_site_type_symbol
_atom_site_fract_x
_atom_site_fract_y
_atom_site_fract_z
Li1 Li 0.0000 0.0000 0.0000
Pa1 Pa 0.2500 0.2500 0.7500
Te1 Te 0.2500 0.2500 0.2500
```

Values from the calculation:
- E: -57.83 eV/cell
- Relative energy among the computed polymorphs: 0.000 eV/atom


[7]
LiPaTlTe3: optimized geometry, PBE-GGA.

The structure in CIF format:
```
data_LiPaTlTe3
_chemical_formula_sum 'Li4 Pa4 Tl4 Te12'
_cell_length_a 4.4661
_cell_length_b 15.2022
_cell_length_c 11.6757
_cell_angle_alpha 90.00
_cell_angle_beta 90.00
_cell_angle_gamma 90.00
_symmetry_space_group_name_H-M 'C m c m'
_symmetry_Int_Tables_number 63
_symmetry_space_group_name_Hall '-C 2c 2'
loop_
_atom_site_label
_atom_site_type_symbol
_atom_site_fract_x
_atom_site_fract_y
_atom_site_fract_z
Li1 Li 0.0000 0.0366 0.2500
Pa1 Pa 0.0000 0.5000 0.0000
Tl1 Tl 0.0000 0.2480 0.7500
Te1 Te 0.0000 0.1348 0.0526
Te2 Te 0.0000 0.4307 0.2500
```

Values from the calculation:
- E: -110.72 eV/cell


[8]
LiThPa: optimized geometry, PBE-GGA.

The structure in CIF format:
```
data_LiThPa
_chemical_formula_sum 'Li4 Th4 Pa4'
_cell_length_a 6.9725
_cell_length_b 6.9725
_cell_length_c 6.9725
_cell_angle_alpha 90.00
_cell_angle_beta 90.00
_cell_angle_gamma 90.00
_symmetry_space_group_name_H-M 'F -4 3 m'
_symmetry_Int_Tables_number 216
_symmetry_space_group_name_Hall 'F -4 2 3'
loop_
_atom_site_label
_atom_site_type_symbol
_atom_site_fract_x
_atom_site_fract_y
_atom_site_fract_z
Li1 Li 0.0000 0.0000 0.0000
Th1 Th 0.0000 0.0000 0.5000
Pa1 Pa 0.2500 0.2500 0.2500
```

Values from the calculation:
- E: -62.21 eV/cell


[9]
LiUPa: optimized geometry, PBE-GGA.

The structure in CIF format:
```
data_LiUPa
_chemical_formula_sum 'Li4 U4 Pa4'
_cell_length_a 6.4049
_cell_length_b 6.4049
_cell_length_c 6.4049
_cell_angle_alpha 90.00
_cell_angle_beta 90.00
_cell_angle_gamma 90.00
_symmetry_space_group_name_H-M 'F -4 3 m'
_symmetry_Int_Tables_number 216
_symmetry_space_group_name_Hall 'F -4 2 3'
loop_
_atom_site_label
_atom_site_type_symbol
_atom_site_fract_x
_atom_site_fract_y
_atom_site_fract_z
Li1 Li 0.0000 0.0000 0.0000
U1 U 0.2500 0.2500 0.2500
Pa1 Pa 0.0000 0.0000 0.5000
```

Values from the calculation:
- E: -78.60 eV/cell


[10]
LiPmPdPb: optimized geometry, PBE-GGA.

The structure in CIF format:
```
data_LiPmPdPb
_chemical_formula_sum 'Li4 Pm4 Pd4 Pb4'
_cell_length_a 6.9330
_cell_length_b 6.9330
_cell_length_c 6.9330
_cell_angle_alpha 90.00
_cell_angle_beta 90.00
_cell_angle_gamma 90.00
_symmetry_space_group_name_H-M 'F -4 3 m'
_symmetry_Int_Tables_number 216
_symmetry_space_group_name_Hall 'F -4 2 3'
loop_
_atom_site_label
_atom_site_type_symbol
_atom_site_fract_x
_atom_site_fract_y
_atom_site_fract_z
Li1 Li 0.0000 0.0000 0.0000
Pm1 Pm 0.2500 0.2500 0.7500
Pd1 Pd 0.0000 0.0000 0.5000
Pb1 Pb 0.2500 0.2500 0.2500
```

Values from the calculation:
- E: -72.45 eV/cell


[11]
LiPrPdPb: optimized geometry, PBE-GGA.

The structure in CIF format:
```
data_LiPrPdPb
_chemical_formula_sum 'Li4 Pr4 Pd4 Pb4'
_cell_length_a 6.9980
_cell_length_b 6.9980
_cell_length_c 6.9980
_cell_angle_alpha 90.00
_cell_angle_beta 90.00
_cell_angle_gamma 90.00
_symmetry_space_group_name_H-M 'F -4 3 m'
_symmetry_Int_Tables_number 216
_symmetry_space_group_name_Hall 'F -4 2 3'
loop_
_atom_site_label
_atom_site_type_symbol
_atom_site_fract_x
_atom_site_fract_y
_atom_site_fract_z
Li1 Li 0.0000 0.0000 0.0000
Pr1 Pr 0.2500 0.2500 0.7500
Pd1 Pd 0.0000 0.0000 0.5000
Pb1 Pb 0.2500 0.2500 0.2500
```

Values from the calculation:
- E: -72.34 eV/cell


[12]
Li2PdPtPb2: optimized geometry, PBE-GGA.

The structure in CIF format:
```
data_Li2PdPtPb2
_chemical_formula_sum 'Li2 Pd1 Pt1 Pb2'
_cell_length_a 4.7758
_cell_length_b 4.7758
_cell_length_c 5.8431
_cell_angle_alpha 90.00
_cell_angle_beta 90.00
_cell_angle_gamma 120.00
_symmetry_space_group_name_H-M 'P -6 m 2'
_symmetry_Int_Tables_number 187
_symmetry_space_group_name_Hall 'P -6 2'
loop_
_atom_site_label
_atom_site_type_symbol
_atom_site_fract_x
_atom_site_fract_y
_atom_site_fract_z
Li1 Li 0.0000 0.0000 0.2474
Pd1 Pd 0.3333 0.6667 0.5000
Pt1 Pt 0.6667 0.3333 0.0000
Pb1 Pb 0.3333 0.6667 0.0000
Pb2 Pb 0.6667 0.3333 0.5000
```

Values from the calculation:
- E: -24.83 eV/cell


[13]
Li4PdPtPb2: optimized geometry, PBE-GGA.

The structure in CIF format:
```
data_Li4PdPtPb2
_chemical_formula_sum 'Li4 Pd1 Pt1 Pb2'
_cell_length_a 4.5949
_cell_length_b 4.5949
_cell_length_c 6.4669
_cell_angle_alpha 90.00
_cell_angle_beta 90.00
_cell_angle_gamma 90.00
_symmetry_space_group_name_H-M 'P -4 m 2'
_symmetry_Int_Tables_number 115
_symmetry_space_group_name_Hall 'P -4 -2'
loop_
_atom_site_label
_atom_site_type_symbol
_atom_site_fract_x
_atom_site_fract_y
_atom_site_fract_z
Li1 Li 0.0000 0.0000 0.0000
Li2 Li 0.0000 0.5000 0.2466
Li3 Li 0.5000 0.5000 0.5000
Pd1 Pd 0.0000 0.0000 0.5000
Pt1 Pt 0.5000 0.5000 0.0000
Pb1 Pb 0.0000 0.5000 0.7481
```

Values from the calculation:
- E: -29.90 eV/cell


[14]
Li2Sc2PdPtPb2: optimized geometry, PBE-GGA.

The structure in CIF format:
```
data_Li2Sc2PdPtPb2
_chemical_formula_sum 'Li2 Sc2 Pd1 Pt1 Pb2'
_cell_length_a 4.6769
_cell_length_b 4.6769
_cell_length_c 6.6178
_cell_angle_alpha 90.00
_cell_angle_beta 90.00
_cell_angle_gamma 90.00
_symmetry_space_group_name_H-M 'P -4 m 2'
_symmetry_Int_Tables_number 115
_symmetry_space_group_name_Hall 'P -4 -2'
loop_
_atom_site_label
_atom_site_type_symbol
_atom_site_fract_x
_atom_site_fract_y
_atom_site_fract_z
Li1 Li 0.0000 0.0000 0.0000
Li2 Li 0.5000 0.5000 0.5000
Sc1 Sc 0.0000 0.5000 0.7469
Pd1 Pd 0.5000 0.5000 0.0000
Pt1 Pt 0.0000 0.0000 0.5000
Pb1 Pb 0.0000 0.5000 0.2465
```

Values from the calculation:
- E: -40.36 eV/cell


[15]
Li2Y2PdPtPb2: optimized geometry, PBE-GGA.

The structure in CIF format:
```
data_Li2Y2PdPtPb2
_chemical_formula_sum 'Li2 Y2 Pd1 Pt1 Pb2'
_cell_length_a 4.8278
_cell_length_b 4.8278
_cell_length_c 6.8318
_cell_angle_alpha 90.00
_cell_angle_beta 90.00
_cell_angle_gamma 90.00
_symmetry_space_group_name_H-M 'P -4 m 2'
_symmetry_Int_Tables_number 115
_symmetry_space_group_name_Hall 'P -4 -2'
loop_
_atom_site_label
_atom_site_type_symbol
_atom_site_fract_x
_atom_site_fract_y
_atom_site_fract_z
Li1 Li 0.0000 0.0000 0.0000
Li2 Li 0.5000 0.5000 0.5000
Y1 Y 0.0000 0.5000 0.2489
Pd1 Pd 0.0000 0.0000 0.5000
Pt1 Pt 0.5000 0.5000 0.0000
Pb1 Pb 0.0000 0.5000 0.7484
```

Values from the calculation:
- E: -40.94 eV/cell


[16]
Li4SbPd2Pb: optimized geometry, PBE-GGA.

The structure in CIF format:
```
data_Li4SbPd2Pb
_chemical_formula_sum 'Li4 Sb1 Pd2 Pb1'
_cell_length_a 4.5326
_cell_length_b 4.5326
_cell_length_c 6.3890
_cell_angle_alpha 90.00
_cell_angle_beta 90.00
_cell_angle_gamma 90.00
_symmetry_space_group_name_H-M 'P -4 m 2'
_symmetry_Int_Tables_number 115
_symmetry_space_group_name_Hall 'P -4 -2'
loop_
_atom_site_label
_atom_site_type_symbol
_atom_site_fract_x
_atom_site_fract_y
_atom_site_fract_z
Li1 Li 0.0000 0.0000 0.0000
Li2 Li 0.0000 0.5000 0.2454
Li3 Li 0.5000 0.5000 0.5000
Sb1 Sb 0.5000 0.5000 0.0000
Pd1 Pd 0.0000 0.5000 0.7634
Pb1 Pb 0.0000 0.0000 0.5000
```

Values from the calculation:
- E: -30.21 eV/cell


[17]
LiScPdPb: optimized geometry, PBE-GGA.

The structure in CIF format:
```
data_LiScPdPb
_chemical_formula_sum 'Li4 Sc4 Pd4 Pb4'
_cell_length_a 6.6285
_cell_length_b 6.6285
_cell_length_c 6.6285
_cell_angle_alpha 90.00
_cell_angle_beta 90.00
_cell_angle_gamma 90.00
_symmetry_space_group_name_H-M 'F -4 3 m'
_symmetry_Int_Tables_number 216
_symmetry_space_group_name_Hall 'F -4 2 3'
loop_
_atom_site_label
_atom_site_type_symbol
_atom_site_fract_x
_atom_site_fract_y
_atom_site_fract_z
Li1 Li 0.0000 0.0000 0.0000
Sc1 Sc 0.2500 0.2500 0.7500
Pd1 Pd 0.0000 0.0000 0.5000
Pb1 Pb 0.2500 0.2500 0.2500
```

Values from the calculation:
- E: -78.17 eV/cell
- Relative energy among the computed polymorphs: 0.000 eV/atom


[18]
LiScPdPb: optimized geometry, PBE-GGA.

The structure in CIF format:
```
data_LiScPdPb
_chemical_formula_sum 'Li2 Sc2 Pd2 Pb2'
_cell_length_a 4.6890
_cell_length_b 4.6890
_cell_length_c 6.6286
_cell_angle_alpha 90.00
_cell_angle_beta 90.00
_cell_angle_gamma 90.00
_symmetry_space_group_name_H-M 'P -4 m 2'
_symmetry_Int_Tables_number 115
_symmetry_space_group_name_Hall 'P -4 -2'
loop_
_atom_site_label
_atom_site_type_symbol
_atom_site_fract_x
_atom_site_fract_y
_atom_site_fract_z
Li1 Li 0.0000 0.5000 0.2490
Sc1 Sc 0.0000 0.0000 0.0000
Sc2 Sc 0.5000 0.5000 0.5000
Pd1 Pd 0.0000 0.5000 0.7501
Pb1 Pb 0.0000 0.0000 0.5000
Pb2 Pb 0.5000 0.5000 0.0000
```

Values from the calculation:
- E: -39.09 eV/cell
- Relative energy among the computed polymorphs: 0.000 eV/atom


[19]
LiScPdPb: optimized geometry, PBE-GGA.

The structure in CIF format:
```
data_LiScPdPb
_chemical_formula_sum 'Li4 Sc4 Pd4 Pb4'
_cell_length_a 6.7370
_cell_length_b 6.7370
_cell_length_c 6.7370
_cell_angle_alpha 90.00
_cell_angle_beta 90.00
_cell_angle_gamma 90.00
_symmetry_space_group_name_H-M 'F -4 3 m'
_symmetry_Int_Tables_number 216
_symmetry_space_group_name_Hall 'F -4 2 3'
loop_
_atom_site_label
_atom_site_type_symbol
_atom_site_fract_x
_atom_site_fract_y
_atom_site_fract_z
Li1 Li 0.0000 0.0000 0.0000
Sc1 Sc 0.0000 0.0000 0.5000
Pd1 Pd 0.2500 0.2500 0.2500
Pb1 Pb 0.2500 0.2500 0.7500
```

Values from the calculation:
- E: -76.51 eV/cell
- Relative energy among the computed polymorphs: 0.104 eV/atom


[20]
LiScPdPb: optimized geometry, PBE-GGA.

The structure in CIF format:
```
data_LiScPdPb
_chemical_formula_sum 'Li4 Sc4 Pd4 Pb4'
_cell_length_a 6.6873
_cell_length_b 6.6873
_cell_length_c 6.6873
_cell_angle_alpha 90.00
_cell_angle_beta 90.00
_cell_angle_gamma 90.00
_symmetry_space_group_name_H-M 'F -4 3 m'
_symmetry_Int_Tables_number 216
_symmetry_space_group_name_Hall 'F -4 2 3'
loop_
_atom_site_label
_atom_site_type_symbol
_atom_site_fract_x
_atom_site_fract_y
_atom_site_fract_z
Li1 Li 0.0000 0.0000 0.0000
Sc1 Sc 0.2500 0.2500 0.7500
Pd1 Pd 0.2500 0.2500 0.2500
Pb1 Pb 0.0000 0.0000 0.5000
```

Values from the calculation:
- E: -75.67 eV/cell
- Relative energy among the computed polymorphs: 0.156 eV/atom